No. 1
# SiTcPO

SiTcPO after structural relaxation (GGA-PBE, the Open Quantum Materials Database).

Cell lengths 3.5676, 3.5676, 9.3847 Å; angles 90.00, 90.00, 90.00 degrees
Element x y z (fractional)
Si: 0.2500 0.2500 0.1001
Si: 0.7500 0.7500 0.8999
Tc: 0.2500 0.7500 0.5000
Tc: 0.7500 0.2500 0.5000
P: 0.2500 0.2500 0.6802
P: 0.7500 0.7500 0.3198
O: 0.2500 0.7500 0.0000
O: 0.7500 0.2500 0.0000

Calculated values
ΔE to the lowest computed polymorph (meV/atom): 443.6
Magnetization (Bohr magnetons per cell): 0.0

---

No. 2
# SiTcPO

SiTcPO after structural relaxation (GGA-PBE, the Open Quantum Materials Database).

Cell lengths 3.2994, 5.8082, 5.5972 Å; angles 90.00, 90.00, 90.00 degrees
Element x y z (fractional)
Si: 0.0000 0.1679 0.0000
Si: 0.0000 0.8321 0.5000
Tc: 0.5000 0.4388 0.4160
Tc: 0.5000 0.5612 0.9160
P: 0.0000 0.2221 0.5985
P: 0.0000 0.7779 0.0985
O: 0.5000 0.2279 0.1002
O: 0.5000 0.7721 0.6002

Calculated values
ΔE to the lowest computed polymorph (meV/atom): 429.3
Magnetization (Bohr magnetons per cell): 0.0

---

No. 3
# TmSiPO

TmSiPO after structural relaxation (GGA-PBE, the Open Quantum Materials Database).

Cell lengths 5.3586, 5.3586, 4.6356 Å; angles 90.00, 90.00, 90.00 degrees
Element x y z (fractional)
Tm: 0.2500 0.7500 0.0000
Tm: 0.7500 0.2500 0.0000
Si: 0.2500 0.2500 0.4945
Si: 0.7500 0.7500 0.5055
P: 0.2500 0.2500 0.9931
P: 0.7500 0.7500 0.0069
O: 0.2500 0.7500 0.5000
O: 0.7500 0.2500 0.5000

Calculated values
ΔE to the lowest computed polymorph (meV/atom): 510.4
Magnetization (Bohr magnetons per cell): 0.0

---

No. 4
# TmSiPO

TmSiPO after structural relaxation (GGA-PBE, the Open Quantum Materials Database).

Cell lengths 3.6003, 5.9061, 6.7093 Å; angles 90.00, 90.00, 90.00 degrees
Element x y z (fractional)
Tm: 0.0000 0.2483 0.0000
Tm: 0.0000 0.7517 0.5000
Si: 0.5000 0.1340 0.5930
Si: 0.5000 0.8660 0.0930
P: 0.0000 0.2734 0.4169
P: 0.0000 0.7266 0.9169
O: 0.5000 0.2677 0.8160
O: 0.5000 0.7323 0.3160

Calculated values
ΔE to the lowest computed polymorph (meV/atom): 0.0
Magnetization (Bohr magnetons per cell): 0.0

---

No. 5
# TmSiPO

TmSiPO after structural relaxation (GGA-PBE, the Open Quantum Materials Database).

Cell lengths 4.0273, 4.0273, 7.9179 Å; angles 90.00, 90.00, 90.00 degrees
Element x y z (fractional)
Tm: 0.2500 0.2500 0.1218
Tm: 0.7500 0.7500 0.8782
Si: 0.2500 0.7500 0.5000
Si: 0.7500 0.2500 0.5000
P: 0.2500 0.2500 0.6579
P: 0.7500 0.7500 0.3421
O: 0.2500 0.7500 0.0000
O: 0.7500 0.2500 0.0000

Calculated values
ΔE to the lowest computed polymorph (meV/atom): 60.6
Magnetization (Bohr magnetons per cell): 0.0

---

No. 6
# ZnSiPO

ZnSiPO after structural relaxation (GGA-PBE, the Open Quantum Materials Database).

Cell lengths 4.0476, 4.0476, 8.2364 Å; angles 90.00, 90.00, 90.00 degrees
Element x y z (fractional)
Zn: 0.2500 0.2500 0.0408
Zn: 0.7500 0.7500 0.9592
Si: 0.2500 0.7500 0.5000
Si: 0.7500 0.2500 0.5000
P: 0.2500 0.2500 0.3564
P: 0.7500 0.7500 0.6436
O: 0.2500 0.7500 0.0000
O: 0.7500 0.2500 0.0000

Calculated values
ΔE to the lowest computed polymorph (meV/atom): 223.0

---

No. 7
# ZnSiPO

ZnSiPO after structural relaxation (GGA-PBE, the Open Quantum Materials Database).

Cell lengths 3.5296, 3.5296, 8.8895 Å; angles 90.00, 90.00, 90.00 degrees
Element x y z (fractional)
Zn: 0.2500 0.7500 0.0000
Zn: 0.7500 0.2500 0.0000
Si: 0.2500 0.2500 0.3914
Si: 0.7500 0.7500 0.6086
P: 0.2500 0.2500 0.8130
P: 0.7500 0.7500 0.1870
O: 0.2500 0.7500 0.5000
O: 0.7500 0.2500 0.5000

Calculated values
ΔE to the lowest computed polymorph (meV/atom): 242.5

---

No. 8
# ZnSiPO

ZnSiPO after structural relaxation (GGA-PBE, the Open Quantum Materials Database).

Cell lengths 3.7215, 5.7189, 5.6122 Å; angles 90.00, 90.00, 90.00 degrees
Element x y z (fractional)
Zn: 0.0000 0.1646 0.0000
Zn: 0.0000 0.8354 0.5000
Si: 0.5000 0.2820 0.5669
Si: 0.5000 0.7180 0.0669
P: 0.5000 0.3339 0.1659
P: 0.5000 0.6661 0.6659
O: 0.0000 0.1845 0.6270
O: 0.0000 0.8155 0.1270

Calculated values
ΔE to the lowest computed polymorph (meV/atom): 14.5

---

No. 9
# ZnSiPO

ZnSiPO after structural relaxation (GGA-PBE, the Open Quantum Materials Database).

Cell lengths 3.5277, 3.5277, 8.8471 Å; angles 90.00, 90.00, 90.00 degrees
Element x y z (fractional)
Zn: 0.2500 0.7500 0.0000
Zn: 0.7500 0.2500 0.0000
Si: 0.2500 0.2500 0.3907
Si: 0.7500 0.7500 0.6093
P: 0.2500 0.2500 0.8117
P: 0.7500 0.7500 0.1883
O: 0.2500 0.7500 0.5000
O: 0.7500 0.2500 0.5000

Calculated values
ΔE to the lowest computed polymorph (meV/atom): 243.4

---

No. 10
# ZnSiPO

ZnSiPO after structural relaxation (GGA-PBE, the Open Quantum Materials Database).

Cell lengths 3.4591, 5.8762, 6.0438 Å; angles 90.00, 90.00, 90.00 degrees
Element x y z (fractional)
Zn: 0.0000 0.2001 0.0000
Zn: 0.0000 0.7999 0.5000
Si: 0.5000 0.3932 0.5092
Si: 0.5000 0.6068 0.0092
P: 0.0000 0.1823 0.3893
P: 0.0000 0.8177 0.8893
O: 0.5000 0.3737 0.8208
O: 0.5000 0.6263 0.3208

Calculated values
ΔE to the lowest computed polymorph (meV/atom): 0.0

---

No. 11
# SmSnPO

SmSnPO after structural relaxation (GGA-PBE, the Open Quantum Materials Database).

Cell lengths 4.7458, 6.2381, 6.3001 Å; angles 90.00, 90.00, 90.00 degrees
Element x y z (fractional)
Sm: 0.0000 0.1695 0.0000
Sm: 0.0000 0.8305 0.5000
Sn: 0.5000 0.2757 0.3715
Sn: 0.5000 0.7243 0.8715
P: 0.5000 0.2959 0.7817
P: 0.5000 0.7041 0.2817
O: 0.0000 0.1508 0.3591
O: 0.0000 0.8492 0.8591

Calculated values
ΔE to the lowest computed polymorph (meV/atom): 118.8
Magnetization (Bohr magnetons per cell): 0.0

---

No. 12
# SmSnPO

SmSnPO after structural relaxation (GGA-PBE, the Open Quantum Materials Database).

Cell lengths 5.5774, 5.5774, 5.1697 Å; angles 90.00, 90.00, 90.00 degrees
Element x y z (fractional)
Sm: 0.2500 0.7500 0.0000
Sm: 0.7500 0.2500 0.0000
Sn: 0.2500 0.2500 0.4902
Sn: 0.7500 0.7500 0.5098
P: 0.2500 0.2500 0.9866
P: 0.7500 0.7500 0.0134
O: 0.2500 0.7500 0.5000
O: 0.7500 0.2500 0.5000

Calculated values
ΔE to the lowest computed polymorph (meV/atom): 264.6
Magnetization (Bohr magnetons per cell): 0.0